No. 1
Density functional theory data (PBE) for a geometry-optimized Ca2MoP structure.

abc: 3.0451 3.0451 9.0300
angles: 90.00 90.00 90.01
Positions (direct):
Ca  0.0000  0.0000  0.9770
Ca  0.0000  0.0000  0.5230
Mo  0.5000  0.5000  0.2500
P  0.5000  0.5000  0.7500

As for the space group: No. 123. The calculation puts the volume at 20.93 Å³ per atom. Its formation enthalpy at 0 K is 0.6 eV/f.u.

No. 2
Density functional theory data (PBE) for a geometry-optimized Ac3NdTe4 structure.

abc: 4.6187 8.1334 8.1334
angles: 108.83 90.00 90.00
Positions (direct):
Ac  0.0000  0.0000  0.5000
Ac  0.5000  0.5000  0.5000
Ac  0.0000  0.5000  0.0000
Nd  0.5000  0.0000  0.0000
Te  0.0000  0.2402  0.2402
Te  0.5000  0.7551  0.2449
Te  0.0000  0.7598  0.7598
Te  0.5000  0.2449  0.7551

The calculation puts the formation energy from raw total energies at -1.4665 eV per atom. As for the space group: No. 65. The calculation puts the volume at 36.15 Å³ per atom.

No. 3
Density functional theory data (PBE) for a geometry-optimized Y2IrPb structure.

abc: 5.4815 5.4815 5.4815
angles: 52.00 52.00 52.00
Positions (direct):
Ir  0.4842  0.4842  0.4842
Pb  0.7730  0.7730  0.7730
Y  0.0094  0.0094  0.0094
Y  0.2333  0.2333  0.2333

As for the space group: No. 160. The calculation puts the volume at 23.64 Å³ per atom. Its formation enthalpy at 0 K is -0.9 eV/f.u.

No. 4
Density functional theory data (PBE) for a geometry-optimized CsRbSrMo2 structure.

abc: 5.1394 6.1300 5.1394
angles: 90.00 90.00 90.00
Site moments in Bohr magnetons follow the coordinates.
Positions (direct):
Cs  0.5000  0.5000  0.5000  -0.02
Sr  0.0000  0.5000  0.0000  -0.11
Mo  0.0000  0.0000  0.5000  1.79
Mo  0.5000  0.0000  0.0000  2.12
Rb  0.0000  0.0000  0.0000  0.04

As for the space group: No. 123. The calculation puts the volume at 32.38 Å³ per atom. Its formation enthalpy at 0 K is 12.9 eV/f.u.

No. 5
Density functional theory data (PBE) for a geometry-optimized BaTa2Al structure.

abc: 3.0524 3.0524 10.3137
angles: 90.00 90.00 108.95
Positions (direct):
Al  0.0000  0.0000  0.4585
Ba  0.5000  0.5000  0.7427
Ta  0.0000  0.0000  0.0475
Ta  0.5000  0.5000  0.2513

As for the space group: No. 35. The calculation puts the volume at 22.72 Å³ per atom. Its formation enthalpy at 0 K is 1.9 eV/f.u.

No. 6
Density functional theory data (PBE) for a geometry-optimized K4CuI5 structure.

abc: 7.1451 8.4431 8.4431
angles: 79.69 64.97 64.97
Site moments in Bohr magnetons follow the coordinates.
Positions (direct):
K  0.4081  0.3917  0.7908  0.00
K  0.7998  0.7908  0.6083  0.00
K  0.1989  0.2092  0.3917  0.00
K  0.5906  0.6083  0.2092  0.00
Cu  0.0830  0.0000  0.0000  0.09
I  0.9107  0.3471  0.8240  0.00
I  0.2578  0.8240  0.6529  0.00
I  0.7347  0.1760  0.3471  0.00
I  0.0818  0.6529  0.1760  0.00
I  0.4449  0.0000  0.0000  0.00

The calculation puts the formation energy from raw total energies at -1.1250 eV per atom. As for the space group: No. 79. The calculation puts the volume at 41.81 Å³ per atom.

No. 7
Density functional theory data (PBE) for a geometry-optimized La3IrPb structure.

abc: 5.0927 5.0927 17.0023
angles: 90.00 90.00 120.00
Positions (direct):
Pb  0.0000  0.0000  0.0000
Pb  0.0000  0.0000  0.5000
Ir  0.3333  0.6667  0.7500
Ir  0.6667  0.3333  0.2500
La  0.0000  0.0000  0.2500
La  0.0000  0.0000  0.7500
La  0.3333  0.6667  0.9088
La  0.3333  0.6667  0.5912
La  0.6667  0.3333  0.4088
La  0.6667  0.3333  0.0912

As for the space group: No. 194. The calculation puts the volume at 38.19 Å³ per atom. Its formation enthalpy at 0 K is -2.0 eV/f.u. The offset from the most stable computed form comes out at 6.68 kcal/mol of atoms.

No. 8
Density functional theory data (PBE) for a geometry-optimized Ac4In5Si2 structure.

abc: 4.8447 7.7793 8.9657
angles: 91.55 90.00 90.00
Positions (direct):
Ac  0.5000  0.7639  0.5980
Ac  0.5000  0.2085  0.8580
Ac  0.5000  0.2361  0.4020
Ac  0.5000  0.7915  0.1420
In  0.0000  0.5607  0.3412
In  0.0000  0.1324  0.1311
In  0.0000  0.5000  0.0000
In  0.0000  0.8676  0.8689
In  0.0000  0.4393  0.6588
Si  0.0000  0.0744  0.6198
Si  0.0000  0.9256  0.3802

The calculation puts the formation energy from raw total energies at -0.4614 eV per atom. As for the space group: No. 10. The calculation puts the volume at 30.71 Å³ per atom.

No. 9
Density functional theory data (PBE) for a geometry-optimized ErThTeAs structure.

abc: 4.1556 4.1570 7.8770
angles: 90.00 105.28 120.01
Positions (direct):
Er  0.4940  0.1449  0.6544
Th  0.1125  0.9542  0.0818
Te  0.9752  0.3856  0.3759
As  0.2961  0.5460  0.8576

The calculation puts the formation energy from raw total energies at -1.3211 eV per atom. As for the space group: No. 160. The calculation puts the volume at 28.06 Å³ per atom.

No. 10
Density functional theory data (PBE) for a geometry-optimized Y3MgN structure.

abc: 6.8633 6.8633 7.0088
angles: 90.00 90.00 119.50
Positions (direct):
Y  0.4789  0.0255  0.2500
Y  0.9745  0.5211  0.2500
Y  0.0255  0.4789  0.7500
Y  0.5211  0.9745  0.7500
Y  0.0000  0.0000  0.0000
Y  0.0000  0.0000  0.5000
Mg  0.4712  0.5288  0.2500
Mg  0.5288  0.4712  0.7500
N  0.1221  0.8779  0.2500
N  0.8779  0.1221  0.7500

The calculation puts the formation energy from raw total energies at -0.3615 eV per atom. As for the space group: No. 63. The calculation puts the volume at 28.74 Å³ per atom. The offset from the most stable computed form comes out at 8.32 kcal/mol of atoms.

No. 11
Density functional theory data (PBE) for a geometry-optimized MnSi2Br structure.

abc: 4.4682 4.4682 4.4682
angles: 60.00 60.00 60.00
Positions (direct):
Si  0.2500  0.2500  0.2500
Si  0.7500  0.7500  0.7500
Mn  0.0000  0.0000  0.0000
Br  0.5000  0.5000  0.5000

The calculation puts the formation energy from raw total energies at 1.1923 eV per atom. As for the space group: No. 225. The calculation puts the volume at 15.77 Å³ per atom. The offset from the most stable computed form comes out at 26.51 kcal/mol of atoms.

No. 12
Density functional theory data (PBE) for a geometry-optimized Ag2PbCl4 structure.

abc: 6.4919 6.4919 6.4919
angles: 107.30 107.30 113.90
Positions (direct):
Ag  0.2500  0.7500  0.5000
Ag  0.7500  0.2500  0.5000
Pb  0.5000  0.5000  0.0000
Cl  0.3203  0.1781  0.4983
Cl  0.8219  0.3203  0.1422
Cl  0.1781  0.6797  0.8578
Cl  0.6797  0.8219  0.5017

The calculation puts the formation energy from raw total energies at -0.6429 eV per atom. As for the space group: No. 87. The calculation puts the volume at 29.95 Å³ per atom. The offset from the most stable computed form comes out at 2.35 kcal/mol of atoms.

| no. | DOS(E_F) (states/eV per cell) |
| --- | --- |
| 1 | 3.82 |
| 2 | 5.42 |
| 3 | 2.82 |
| 4 | 5.76 |
| 5 | 3.62 |
| 6 | 0.00 |
| 7 | 11.58 |
| 8 | 8.70 |
| 9 | 1.28 |
| 10 | 13.01 |
| 11 | 9.19 |
| 12 | 0.00 |